VASP calculation (GGA-PBE) on an optimized crystal structure of ErTh2Fe.

a b c (Å): 3.7721 3.7721 26.8548
angles (deg): 90.00 90.00 120.00
Closest atoms and distances in Å follow each position.
Space group R-3m (No. 166, hexagonal axes)
Symmetry-distinct sites (fractional):
Er 0.0000 0.0000 0.0000 x3  6 Th 3.62, 6 Er 3.77
Th 0.0000 0.0000 0.2256 x6  3 Fe 2.69
Fe 0.0000 0.0000 0.5000 x3  6 Th 2.69

## Properties
ΔH_f (0 K): 33 meV per atom
uncorrected energy: -0.510 Ry per atom
excess energy over the best structure of this formula in the dataset: 38 kJ/mol of formula units
ρ: 10.34 g cm⁻³

---

VASP calculation (GGA-PBE) on an optimized crystal structure of ErThFe.

a b c (Å): 3.4895 5.3389 7.9338
angles (deg): 90.00 102.54 90.01
Closest atoms and distances in Å follow each position.
Space group P-1 (No. 2)
Symmetry-distinct sites (fractional):
Er 0.2142 0.2500 0.4259 x2  2 Fe 2.91
Th 0.0717 0.7500 0.1462 x2  2 Fe 2.72-2.74
Fe 0.4349 0.7512 0.8754 x2  2 Th 2.72-2.74, 2 Er 2.91

## Properties
ΔH_f (0 K): 94 meV per atom
uncorrected energy: -0.494 Ry per atom
excess energy over the best structure of this formula in the dataset: 9 kJ/mol of formula units
ρ: 10.48 g cm⁻³

---

VASP calculation (GGA-PBE) on an optimized crystal structure of Er2ThFe.

a b c (Å): 6.9574 9.4505 6.2358
angles (deg): 90.00 90.00 90.00
Closest atoms and distances in Å follow each position.
Space group Pnma (No. 62)
Symmetry-distinct sites (fractional):
Er 0.1682 0.0693 0.1751 x8  2 Fe 2.87-2.92
Th 0.0580 0.2500 0.6539 x4  2 Fe 2.41-2.63
Fe 0.1322 0.7500 0.9823 x4  2 Th 2.41-2.63

## Properties
ΔH_f (0 K): -111 meV per atom
uncorrected energy: -0.468 Ry per atom
excess energy over the best structure of this formula in the dataset: 0 kJ/mol of formula units
ρ: 10.08 g cm⁻³

---

VASP calculation (GGA-PBE) on an optimized crystal structure of ErThFe.

a b c (Å): 3.4028 3.4028 12.4607
angles (deg): 90.00 90.00 90.00
Closest atoms and distances in Å follow each position.
Space group I4mm (No. 107)
Symmetry-distinct sites (fractional):
Er 0.0000 0.0000 0.0000 x2  4 Fe 2.96, 1 Th 3.30
Th 0.0000 0.0000 0.2646 x2  4 Fe 2.87
Fe 0.0000 0.0000 0.6388 x2  4 Th 2.87, 4 Er 2.96

## Properties
ΔH_f (0 K): 63 meV per atom
uncorrected energy: -0.496 Ry per atom
excess energy over the best structure of this formula in the dataset: 0 kJ/mol of formula units
ρ: 10.48 g cm⁻³

---

VASP calculation (GGA-PBE) on an optimized crystal structure of ErTh4Fe4.

a b c (Å): 8.5183 8.5183 5.4758
angles (deg): 90.00 90.00 90.00
Closest atoms and distances in Å follow each position.
Space group P4_2/n (No. 86, origin choice 2)
Symmetry-distinct sites (fractional):
Er 0.2500 0.2500 0.2500 x2  4 Fe 2.74
Th 0.0529 0.6660 0.1825 x8  4 Fe 2.60-2.89
Fe 0.0352 0.6141 0.6609 x8  4 Th 2.60-2.89, 1 Fe 2.69, 1 Er 2.74

## Properties
ΔH_f (0 K): 8 meV per atom
uncorrected energy: -0.555 Ry per atom
ρ: 11.02 g cm⁻³

---

VASP calculation (GGA-PBE) on an optimized crystal structure of ErTh2Fe.

a b c (Å): 3.5052 3.5052 8.6113
angles (deg): 90.00 90.00 90.00
Closest atoms and distances in Å follow each position.
Space group P4/mmm (No. 123)
Symmetry-distinct sites (fractional):
Er 0.0000 0.0000 0.0000 x1  4 Er 3.51, 8 Th 3.58
Th 0.5000 0.5000 0.3000 x2  4 Fe 3.02
Fe 0.0000 0.0000 0.5000 x1  8 Th 3.02

## Properties
ΔH_f (0 K): 95 meV per atom
uncorrected energy: -0.505 Ry per atom
excess energy over the best structure of this formula in the dataset: 62 kJ/mol of formula units
ρ: 10.78 g cm⁻³

---

VASP calculation (GGA-PBE) on an optimized crystal structure of Er2ThFe.

a b c (Å): 3.3579 3.3579 8.7962
angles (deg): 90.00 90.00 90.00
Closest atoms and distances in Å follow each position.
Space group P4/mmm (No. 123)
Symmetry-distinct sites (fractional):
Er 0.0000 0.0000 0.1799 x2  4 Fe 2.85, 1 Er 3.17
Th 0.5000 0.5000 0.5000 x1  4 Th 3.36, 8 Er 3.68
Fe 0.5000 0.5000 0.0000 x1  8 Er 2.85

## Properties
ΔH_f (0 K): 90 meV per atom
uncorrected energy: -0.453 Ry per atom
excess energy over the best structure of this formula in the dataset: 78 kJ/mol of formula units
ρ: 10.42 g cm⁻³

---

VASP calculation (GGA-PBE) on an optimized crystal structure of Er2ThFe9.

a b c (Å): 5.0838 5.0838 24.5172
angles (deg): 90.00 90.00 120.00
Closest atoms and distances in Å follow each position.
Space group R-3m (No. 166, hexagonal axes)
Symmetry-distinct sites (fractional):
Er 0.0000 0.0000 0.1425 x6  12 Fe 2.93-3.02, 3 Er 3.16
Th 0.0000 0.0000 0.0000 x3  18 Fe 2.94-3.26
Fe 0.0000 0.0000 0.3325 x6  6 Fe 2.50-2.53
Fe 0.0000 0.0000 0.5000 x3  6 Fe 2.51
Fe 0.0007 0.5003 0.0833 x18  7 Fe 2.50-2.55

## Properties
ΔH_f (0 K): -99 meV per atom
uncorrected energy: -0.575 Ry per atom
ρ: 9.71 g cm⁻³